Entry 1:
The following is a PBE calculation of ErFe4B4 after structural relaxation, from OQMD.

a b c (Å): 5.010 5.010 6.930
angles (deg): 90.00 90.00 90.00
Sites, in units of the cell vectors:
B 0.176 0.500 0.157
B 0.824 0.500 0.157
B 0.324 0.000 0.343
B 0.676 0.000 0.343
B 0.000 0.324 0.657
B 0.000 0.676 0.657
B 0.500 0.176 0.843
B 0.500 0.824 0.843
Er 0.000 0.000 0.000
Er 0.500 0.500 0.500
Fe 0.500 0.257 0.133
Fe 0.500 0.743 0.133
Fe 0.000 0.243 0.367
Fe 0.000 0.757 0.367
Fe 0.243 0.000 0.633
Fe 0.757 0.000 0.633
Fe 0.257 0.500 0.867
Fe 0.743 0.500 0.867

Results
Calculated density (Mg/m³): 8.28
Total energy (eV/atom): -7.620

Entry 2:
The following is a PBE calculation of YZnCuPb after structural relaxation, from OQMD.

a b c (Å): 4.933 4.933 4.933
angles (deg): 60.00 60.00 60.00
Sites, in units of the cell vectors:
Cu 0.750 0.750 0.750
Pb 0.000 0.000 0.000
Y 0.250 0.250 0.250
Zn 0.500 0.500 0.500

Results
Calculated density (Mg/m³): 8.32
Total energy (eV/atom): -3.856
Excess energy over the best structure of this formula in the dataset (meV/atom): 87

Entry 3:
The following is a PBE calculation of Zn2Ag after structural relaxation, from OQMD.

a b c (Å): 5.113 5.113 8.290
angles (deg): 90.00 90.00 120.00
Sites, in units of the cell vectors:
Ag 0.667 0.333 0.061
Ag 0.667 0.333 0.439
Ag 0.333 0.667 0.561
Ag 0.333 0.667 0.939
Zn 0.000 0.000 0.000
Zn 0.171 0.341 0.250
Zn 0.171 0.829 0.250
Zn 0.659 0.829 0.250
Zn 0.000 0.000 0.500
Zn 0.341 0.171 0.750
Zn 0.829 0.171 0.750
Zn 0.829 0.659 0.750

Results
Calculated density (Mg/m³): 8.45
Formation energy (meV per atom): -36
Total energy (eV/atom): -1.821

Entry 4:
The following is a PBE calculation of ErBr2 after structural relaxation, from OQMD.

a b c (Å): 7.102 7.102 3.635
angles (deg): 90.00 90.00 90.00
Sites, in units of the cell vectors:
Br 0.281 0.281 0.000
Br 0.719 0.719 0.000
Br 0.781 0.219 0.500
Br 0.219 0.781 0.500
Er 0.000 0.000 0.000
Er 0.500 0.500 0.500

Results
Calculated density (Mg/m³): 5.92
Total energy (eV/atom): -4.089

Entry 5:
The following is a PBE calculation of KRb2AuBr6 after structural relaxation, from OQMD.

a b c (Å): 8.151 8.151 8.151
angles (deg): 60.00 60.00 60.00
Sites, in units of the cell vectors:
Au 0.000 0.000 0.000
Br 0.769 0.231 0.231
Br 0.231 0.769 0.231
Br 0.769 0.769 0.231
Br 0.231 0.231 0.769
Br 0.769 0.231 0.769
Br 0.231 0.769 0.769
K 0.500 0.500 0.500
Rb 0.250 0.250 0.250
Rb 0.750 0.750 0.750

Results
Calculated density (Mg/m³): 3.84
Total energy (eV/atom): -2.625

Entry 6:
The following is a PBE calculation of Sc5CoCu4 after structural relaxation, from OQMD.

a b c (Å): 3.212 3.212 16.253
angles (deg): 90.00 90.00 90.00
Sites, in units of the cell vectors:
Co 0.000 0.000 0.000
Cu 0.000 0.000 0.196
Cu 0.000 0.000 0.399
Cu 0.000 0.000 0.601
Cu 0.000 0.000 0.804
Sc 0.500 0.500 0.093
Sc 0.500 0.500 0.297
Sc 0.500 0.500 0.500
Sc 0.500 0.500 0.703
Sc 0.500 0.500 0.907

Results
Calculated density (Mg/m³): 5.33
Formation energy (meV per atom): -294
Total energy (eV/atom): -5.655